[1]
The following is a DFT calculation (PBE) of crystalline YCd at its relaxed geometry.

a = 3.6146 Å, b = 3.6146 Å, c = 10.0763 Å
α = 90.00°, β = 90.00°, γ = 120.00°
Element x y z (fractional)
Cd  0.0000  0.0000  0.0132
Cd  0.3333  0.6667  0.2368
Y  0.0000  0.0000  0.4827
Y  0.3333  0.6667  0.7673

Computed properties:
Its total energy is -3.763 eV per atom. The density of states at the Fermi level comes out at 4.48 states/eV/cell. As for the space-group type: No. 164. The value obtained for the volume is 28.50 Å³/atom. For the formation energy, the calculation gives -0.074 eV per atom.

***

[2]
The following is a DFT calculation (PBE) of crystalline GeAu6 at its relaxed geometry.

a = 6.4494 Å, b = 6.4494 Å, c = 6.4494 Å
α = 109.47°, β = 109.47°, γ = 109.47°
Each line ends with the local moment (μB).
Element x y z (fractional)
Au  0.7500  0.2500  0.5000  0.00
Au  0.5000  0.2500  0.7500  0.00
Au  0.7500  0.5000  0.2500  0.00
Au  0.2500  0.7500  0.5000  0.00
Au  0.5000  0.7500  0.2500  0.00
Au  0.2500  0.5000  0.7500  0.00
Ge  0.0000  0.0000  0.0000  0.17

Computed properties:
Its total energy is -2.656 eV per atom. The density of states at the Fermi level comes out at 4.06 states/eV/cell. As for the space-group type: No. 229. The value obtained for the volume is 29.50 Å³/atom. For the formation energy, the calculation gives 0.813 eV per atom.